DFT (PBE+U) results for a geometry-optimized ZnCrF2 structure.

Calculated values
Symmetry: No. 166
ρ: 4.0 g/cm3
E above lowest polymorph: 292 meV/atom
E_tot: -17.13 eV/f.u.

a = 8.7562 Å, b = 8.7562 Å, c = 8.7562 Å
α = 19.33°, β = 19.33°, γ = 19.33°
Fractional coordinates of all 4 atoms:
Zn 0.0000 0.0000 0.0000
Cr 0.5000 0.5000 0.5000
F 0.1213 0.1213 0.1213
F 0.8787 0.8787 0.8787